Density functional theory data (GGA-PBE) for a geometry-optimized Li2SiHg structure.

a b c (Å): 9.1856 9.1856 9.1856
angles (deg): 18.79 18.79 18.79
Closest atoms and distances in Å follow each position.
Fractional positions:
Li  0.2440  0.2440  0.2440  3 Si 2.72, 3 Hg 2.97, 6 Li 3.00
Li  0.7560  0.7560  0.7560  3 Si 2.72, 3 Hg 2.97, 6 Li 3.00
Si  0.5000  0.5000  0.5000  6 Li 2.72, 6 Si 3.00
Hg  0.0000  0.0000  0.0000  6 Li 2.97, 6 Hg 3.00

- magnetic moment (μB/atom) = 0.00
- D(E_F) (states/eV/atom) = 0.13
- raw total energy (eV per atom) = -2.490
- ρ (g cm⁻³) = 5.73
- symmetry = R-3m (166)
- energy relative to the elements, uncorrected (eV per atom) = -0.101

***

Density functional theory data (GGA-PBE) for a geometry-optimized Li8SiHg2 structure.

a b c (Å): 7.3247 7.3247 6.3881
angles (deg): 108.08 108.08 34.65
Closest atoms and distances in Å follow each position.
Fractional positions:
Li  0.0296  0.0296  0.2616  6 Li 2.61-2.83, 2 Si 2.77, 1 Hg 2.81
Li  0.1460  0.1460  0.6759  7 Li 2.61-2.92, 1 Hg 2.90
Li  0.3351  0.3351  0.6023  1 Si 2.59, 3 Hg 2.83-2.86, 6 Li 2.83-2.88
Li  0.4047  0.4047  0.0755  1 Si 2.60, 3 Li 2.81-2.86, 2 Hg 2.82
Li  0.5953  0.5953  0.9245  1 Si 2.60, 3 Li 2.81-2.86, 2 Hg 2.82
Li  0.6649  0.6649  0.3977  1 Si 2.59, 3 Hg 2.83-2.86, 6 Li 2.83-2.88
Li  0.8540  0.8540  0.3241  7 Li 2.61-2.92, 1 Hg 2.90
Li  0.9704  0.9704  0.7384  6 Li 2.61-2.83, 2 Si 2.77, 1 Hg 2.81
Si  0.5000  0.5000  0.5000  8 Li 2.59-2.77
Hg  0.2092  0.2092  0.1548  10 Li 2.81-2.94
Hg  0.7908  0.7908  0.8452  10 Li 2.81-2.94

- magnetic moment (μB/atom) = 0.00
- D(E_F) (states/eV/atom) = 0.33
- raw total energy (eV per atom) = -2.191
- ρ (g cm⁻³) = 4.37
- symmetry = C2/m (12)
- energy relative to the elements, uncorrected (eV per atom) = -0.251

***

Density functional theory data (GGA-PBE) for a geometry-optimized LiSmSiHg structure.

a b c (Å): 4.9755 4.9755 4.9755
angles (deg): 60.00 60.00 60.00
Closest atoms and distances in Å follow each position.
Fractional positions:
Li  0.0000  0.0000  0.0000  4 Hg 3.05, 4 Si 3.05
Sm  0.5000  0.5000  0.5000  4 Si 3.05, 4 Hg 3.05
Si  0.7500  0.7500  0.7500  4 Li 3.05, 4 Sm 3.05
Hg  0.2500  0.2500  0.2500  4 Sm 3.05, 4 Li 3.05

- magnetic moment (μB/atom) = 0.00
- D(E_F) (states/eV/atom) = 0.33
- raw total energy (eV per atom) = -3.475
- ρ (g cm⁻³) = 7.36
- symmetry = F-43m (216)
- energy relative to the elements, uncorrected (eV per atom) = -0.385

***

Density functional theory data (GGA-PBE) for a geometry-optimized LiSiHg2Te4 structure.

a b c (Å): 7.9687 7.9677 6.5313
angles (deg): 65.81 65.80 48.39
Closest atoms and distances in Å follow each position.
Fractional positions:
Li  0.0000  0.0000  0.0000  4 Te 2.86-2.87
Si  0.4996  0.4996  0.5004  4 Te 2.62
Hg  0.2497  0.2497  0.2503  4 Te 2.91-2.92
Hg  0.7497  0.7497  0.7503  4 Te 2.91-2.92
Te  0.1521  0.6203  0.8479  1 Si 2.62, 1 Li 2.87, 2 Hg 2.91
Te  0.3793  0.8470  0.1530  1 Si 2.62, 1 Li 2.86, 2 Hg 2.92
Te  0.6203  0.1521  0.3797  1 Si 2.62, 1 Li 2.87, 2 Hg 2.91
Te  0.8470  0.3793  0.6207  1 Si 2.62, 1 Li 2.86, 2 Hg 2.92

- magnetic moment (μB/atom) = 0.00
- D(E_F) (states/eV/atom) = 0.45
- raw total energy (eV per atom) = -2.760
- ρ (g cm⁻³) = 5.67
- symmetry = Fmm2 (42)
- energy relative to the elements, uncorrected (eV per atom) = -0.196

***

Density functional theory data (GGA-PBE) for a geometry-optimized Li2SiHgTe4 structure.

a b c (Å): 8.3591 8.3591 7.9204
angles (deg): 118.24 118.24 91.22
Closest atoms and distances in Å follow each position.
Fractional positions:
Li  0.0000  0.0000  0.0000  6 Te 3.05-3.15
Li  0.0000  0.0000  0.5000  6 Te 3.05-3.15
Li  0.0000  0.5000  0.0000  6 Te 2.82-2.90
Li  0.5000  0.0000  0.5000  6 Te 2.82-2.90
Si  0.5000  0.5000  0.0000  6 Te 2.81-2.82
Si  0.5000  0.5000  0.5000  6 Te 2.81-2.82
Hg  0.0000  0.5000  0.5000  6 Te 2.95-3.17
Hg  0.5000  0.0000  0.0000  6 Te 2.95-3.17
Te  0.2549  0.2843  0.0199  2 Si 2.81, 3 Li 2.82-3.06
Te  0.2631  0.7353  0.4934  1 Si 2.82, 3 Li 2.90-3.15, 2 Hg 2.95-2.97
Te  0.2647  0.7369  0.0066  1 Si 2.82, 3 Li 2.90-3.15, 2 Hg 2.95-2.97
Te  0.2843  0.2549  0.5199  2 Si 2.81, 3 Li 2.82-3.06
Te  0.7157  0.7451  0.4801  2 Si 2.81, 3 Li 2.82-3.06
Te  0.7353  0.2631  0.9934  1 Si 2.82, 3 Li 2.90-3.15, 2 Hg 2.95-2.97
Te  0.7369  0.2647  0.5066  1 Si 2.82, 3 Li 2.90-3.15, 2 Hg 2.95-2.97
Te  0.7451  0.7157  0.9801  2 Si 2.81, 3 Li 2.82-3.06

- magnetic moment (μB/atom) = 0.00
- D(E_F) (states/eV/atom) = 0.49
- raw total energy (eV per atom) = -3.034
- ρ (g cm⁻³) = 6.14
- symmetry = C2/c (15)
- energy relative to the elements, uncorrected (eV per atom) = -0.269

***

Density functional theory data (GGA-PBE) for a geometry-optimized LiTiSiHg2 structure.

a b c (Å): 4.6097 4.6097 4.5281
angles (deg): 90.00 90.00 90.00
Closest atoms and distances in Å follow each position.
Fractional positions:
Li  0.0000  0.0000  0.0000  2 Si 2.26, 4 Hg 2.30
Ti  0.5000  0.5000  0.5000  8 Hg 3.23, 4 Si 3.26
Si  0.0000  0.0000  0.5000  2 Li 2.26
Hg  0.0000  0.5000  0.0000  2 Li 2.30
Hg  0.5000  0.0000  0.0000  2 Li 2.30

- magnetic moment (μB/atom) = 0.00
- D(E_F) (states/eV/atom) = 0.87
- raw total energy (eV per atom) = -2.634
- ρ (g cm⁻³) = 8.35
- symmetry = P4/mmm (123)
- energy relative to the elements, uncorrected (eV per atom) = 0.534

***

- Which formula does entry 3 have?
  LiSmSiHg

***

- Number 6 is which compound?
  LiTiSiHg2

***

- D(E_F) of number 1 (Li2SiHg)?
  0.13 states/eV/atom

***

- Which of these has the lowest raw total energy?
  LiSmSiHg